VASP calculation (GGA+U) on a relaxed structure of GeMoPO2.

a = 3.877 Å, b = 3.877 Å, c = 5.241 Å
α = 90.00°, β = 90.00°, γ = 90.00°
Fractional coordinates of all 5 atoms:
P1 0.000 0.000 0.500
Ge1 0.500 0.500 0.500
Mo1 0.000 0.000 0.000
O1 0.000 0.500 0.000
O2 0.500 0.000 0.000

Calculated values
Density = 4.88 Mg/m³
Excess energy over the best structure of this formula in the dataset = 0 meV per atom
Volume = 15.76 A^3/atom